Cs2AgBCl6 | PBE | optimized geometry

Unit cell a=7.3131 b=7.3131 c=7.6724 alpha=61.54 beta=61.54 gamma=90.00
Last column: nearest neighbours and their distance in Å.
Positions (direct):
Cl 0.3076 0.3076 0.0000  1 B 1.99
Cl 0.6924 0.6924 0.0000  1 B 1.99
Cl 0.3076 0.6924 0.0000  1 B 1.99
Cl 0.2108 0.2108 0.5785  1 Ag 2.39
Cl 0.6924 0.3076 0.0000  1 B 1.99
Cl 0.7892 0.7892 0.4215  1 Ag 2.39
B 0.5000 0.5000 0.0000  4 Cl 1.99
Cs 0.7500 0.2500 0.5000  12 Cl 3.68-3.88
Cs 0.2500 0.7500 0.5000  12 Cl 3.68-3.88
Ag 0.0000 0.0000 0.0000  2 Cl 2.39

## Properties
Formation energy without anion corrections, eV per formula unit: -10.08
Raw total energy, eV/atom: -3.2397
Spin magnetization, μB/cell: 0.00